An optimized crystal structure of CdSiCl2. Source: the Alexandria database, functional PBE.

* mass density: 2.00 g/cm3
* relative energy among the computed polymorphs: 0.84 eV per formula unit
* DOS(E_F): 0.01 states/eV/atom
* formation energy (no corrections): -0.138 eV/atom

Cell lengths 7.940, 7.940, 11.146 Å; angles 90.00, 90.00, 90.00 degrees
Space group I4_1/amd (No. 141, origin choice 2)
Asymmetric unit:
Cd 0.000 0.250 0.375 (multiplicity 4)
Si 0.000 0.250 0.875 (multiplicity 4)
Cl 0.000 0.000 0.000 (multiplicity 8)

An optimized crystal structure of CdSi2Cl. Source: the Alexandria database, functional PBE.

* mass density: 3.94 g/cm3
* relative energy among the computed polymorphs: 1.07 eV per formula unit
* DOS(E_F): 0.28 states/eV/atom
* formation energy (no corrections): 0.314 eV/atom

Cell lengths 5.200, 5.221, 12.668 Å; angles 90.00, 90.00, 90.00 degrees
Space group Fmmm (No. 69)
Asymmetric unit:
Cd 0.000 0.000 0.000 (multiplicity 4)
Si 0.250 0.000 0.250 (multiplicity 8)
Cl 0.000 0.000 0.500 (multiplicity 4)

An optimized crystal structure of CdSiCl2. Source: the Alexandria database, functional PBE.

* mass density: 3.59 g/cm3
* relative energy among the computed polymorphs: 0.48 eV per formula unit
* DOS(E_F): 0.07 states/eV/atom
* formation energy (no corrections): -0.228 eV/atom

Cell lengths 3.050, 3.515, 9.113 Å; angles 90.00, 91.55, 90.00 degrees
Space group P2/m (No. 10)
Asymmetric unit:
Cd 0.000 0.000 0.000 (multiplicity 1)
Si 0.000 0.000 0.500 (multiplicity 1)
Cl 0.016 0.500 0.690 (multiplicity 2)

An optimized crystal structure of CdSi2Cl. Source: the Alexandria database, functional PBE.

* mass density: 4.45 g/cm3
* relative energy among the computed polymorphs: 1.21 eV per formula unit
* DOS(E_F): 0.27 states/eV/atom
* formation energy (no corrections): 0.349 eV/atom

Cell lengths 3.085, 4.926, 5.006 Å; angles 90.00, 90.00, 90.00 degrees
Space group Pmmm (No. 47)
Asymmetric unit:
Cd 0.000 0.000 0.000 (multiplicity 1)
Si 0.000 0.500 0.500 (multiplicity 1)
Si 0.500 0.000 0.500 (multiplicity 1)
Cl 0.500 0.500 0.000 (multiplicity 1)

Q: Which value of mass density does entry 3 give?
A: 3.59 g/cm3